No. 1
Material: SiIr3Pb
Method: DFT, PBE-GGA
State: relaxed

a = 4.547 Å, b = 4.547 Å, c = 4.547 Å
α = 90.00°, β = 90.00°, γ = 90.00°
Space group Pm-3m (No. 221)
Unique sites:
Si 0.000 0.000 0.000
Ir 0.000 0.000 0.500
Pb 0.500 0.500 0.500

Energy relative to the elements, uncorrected, eV per atom: 0.5654
Relative energy among the computed polymorphs, meV per atom: 0.0
Raw total energy, eV/atom: -6.577


No. 2
Material: BeNbSbPIr
Method: DFT, PBE-GGA
State: relaxed

a = 4.0835 Å, b = 4.0835 Å, c = 6.1754 Å
α = 90.00°, β = 90.00°, γ = 120.00°
Space group P3m1 (No. 156)
Unique sites:
Be 0.0000 0.0000 0.0000
Nb 0.3333 0.6667 0.2908
Sb 0.3333 0.6667 0.7651
P 0.6667 0.3333 0.3768
Ir 0.6667 0.3333 0.9941

Energy relative to the elements, uncorrected, eV per atom: -0.3934
Relative energy among the computed polymorphs, meV per atom: 0.0
Raw total energy, eV/atom: -6.831


No. 3
Material: Cr2TcRu
Method: DFT, PBE-GGA
State: relaxed

a = 6.676 Å, b = 6.676 Å, c = 5.066 Å
α = 90.00°, β = 90.00°, γ = 90.00°
Space group I-42d (No. 122)
Unique sites:
Cr 0.250 0.250 0.125
Tc 0.000 0.000 0.000
Ru 0.000 0.000 0.500

Energy relative to the elements, meV/atom: 749.6
Raw total energy, eV/atom: -8.973


No. 4
Material: ZnCr2S
Method: DFT, PBE-GGA
State: relaxed

a = 6.529 Å, b = 6.529 Å, c = 5.456 Å
α = 90.00°, β = 90.00°, γ = 90.00°
Space group I-42d (No. 122)
Unique sites:
Zn 0.000 0.000 0.000
Cr 0.199 0.250 0.625
S 0.000 0.000 0.500

Energy relative to the elements, uncorrected, eV per atom: 0.2841
Relative energy among the computed polymorphs, meV per atom: 0.0
Raw total energy, eV/atom: -5.878


No. 5
Material: KReAs2
Method: DFT, PBE-GGA
State: relaxed

a = 3.198 Å, b = 3.347 Å, c = 16.384 Å
α = 90.00°, β = 90.00°, γ = 90.00°
Space group Imm2 (No. 44)
Unique sites:
K 0.000 0.000 0.000
Re 0.000 0.500 0.742
As 0.000 0.000 0.357
As 0.000 0.500 0.169

Relative energy among the computed polymorphs, meV per atom: 120.3
Energy relative to the elements, meV/atom: 21.6
Raw total energy, eV/atom: -5.690


No. 6
Material: LiFe2SbH
Method: DFT, PBE-GGA
State: relaxed

a = 3.786 Å, b = 3.786 Å, c = 4.073 Å
α = 90.00°, β = 90.00°, γ = 90.00°
Space group P4/mmm (No. 123)
Unique sites:
Li 0.000 0.000 0.000
Fe 0.000 0.500 0.500
Sb 0.500 0.500 0.000
H 0.000 0.000 0.500

Raw total energy, eV/atom: -5.283